{"formula": "SrThMg", "functional": "PBE", "state": "relaxed", "polymorph_energy_mev_per_atom": 0.0, "cell": [[0.0000, 3.8860, 3.8860], [3.8860, 0.0000, 3.8860], [3.8860, 3.8860, 0.0000]], "species": ["Sr", "Th", "Mg"], "fractional_positions": [[0.0000, 0.0000, 0.0000], [0.5000, 0.5000, 0.5000], [0.2500, 0.2500, 0.2500]]}

***

{"formula": "Li2ZnPd", "functional": "PBE", "state": "relaxed", "final_energy_ry_per_atom": -0.221, "cell": [[3.0073, -3.0554, 0.0000], [3.0073, 3.0554, 0.0000], [-3.0058, 0.0000, 3.0483]], "species": ["Li", "Li", "Zn", "Pd"], "fractional_positions": [[0.0000, 0.0000, 0.0000], [0.7493, 0.2507, 0.5000], [0.2495, 0.7505, 0.5000], [0.4990, 0.5010, 0.0000]]}

***

{"formula": "Gd3Tm2ScTe2Ir", "functional": "PBE", "state": "relaxed", "final_energy_ry_per_atom": -0.428, "cell": [[4.0025, 0.0000, 0.0000], [0.0000, 7.0663, 4.1343], [0.0000, -7.0663, 4.1343]], "species": ["Gd", "Gd", "Gd", "Tm", "Tm", "Sc", "Te", "Te", "Ir"], "fractional_positions": [[0.0000, 0.0000, 0.0000], [0.0000, 0.2024, 0.5920], [0.0000, 0.5920, 0.2024], [0.5000, 0.5987, 0.8317], [0.5000, 0.8317, 0.5987], [0.5000, 0.3577, 0.3577], [0.5000, 0.2619, 0.9309], [0.5000, 0.9309, 0.2619], [0.0000, 0.5713, 0.5713]]}

***

{"formula": "Zr3ScCu2", "functional": "PBE", "state": "relaxed", "final_energy_ry_per_atom": -0.493, "cell": [[3.2099, 0.0000, 0.0000], [0.0000, 3.2099, 0.0000], [0.0000, 0.0000, 11.2808]], "species": ["Zr", "Zr", "Zr", "Sc", "Cu", "Cu"], "fractional_positions": [[0.0000, 0.0000, 0.0000], [0.0000, 0.0000, 0.3088], [0.5000, 0.5000, 0.8107], [0.5000, 0.5000, 0.5023], [0.0000, 0.0000, 0.6541], [0.5000, 0.5000, 0.1551]]}

***

{"formula": "ZrUB", "functional": "PBE", "state": "relaxed", "polymorph_energy_mev_per_atom": 0.0, "cell": [[0.0000, 3.0201, 3.0201], [3.0201, 0.0000, 3.0201], [3.0201, 3.0201, 0.0000]], "species": ["Zr", "U", "B"], "fractional_positions": [[0.0000, 0.0000, 0.0000], [0.5000, 0.5000, 0.5000], [0.7500, 0.7500, 0.7500]]}

***

{"formula": "CsLuFeSe3", "functional": "PBE", "state": "relaxed", "polymorph_energy_mev_per_atom": 0.0, "cell": [[9.6773, 0.0000, 0.0000], [0.0000, 4.0564, 0.0000], [-4.0608, 0.0000, 9.3458]], "species": ["Cs", "Cs", "Lu", "Lu", "Fe", "Fe", "Se", "Se", "Se", "Se", "Se", "Se"], "fractional_positions": [[0.2202, 0.2500, 0.2453], [0.7798, 0.7500, 0.7547], [0.3335, 0.7500, 0.8571], [0.6665, 0.2500, 0.1429], [0.0729, 0.2500, 0.5889], [0.9271, 0.7500, 0.4111], [0.1227, 0.2500, 0.8427], [0.2031, 0.7500, 0.5463], [0.4720, 0.7500, 0.1529], [0.5280, 0.2500, 0.8471], [0.7969, 0.2500, 0.4537], [0.8773, 0.7500, 0.1573]]}

***

{"formula": "Zr2SnPd", "functional": "PBE", "state": "relaxed", "final_energy_ry_per_atom": -0.497, "cell": [[0.0000, 3.4561, 3.4561], [3.4561, 0.0000, 3.4561], [3.4561, 3.4561, 0.0000]], "species": ["Zr", "Zr", "Sn", "Pd"], "fractional_positions": [[0.0000, 0.0000, 0.0000], [0.2500, 0.2500, 0.2500], [0.5000, 0.5000, 0.5000], [0.7500, 0.7500, 0.7500]]}

***

{"formula": "PmPaW", "functional": "PBE", "state": "relaxed", "polymorph_energy_mev_per_atom": 0.0, "cell": [[0.0000, 3.4437, 3.4437], [3.4437, 0.0000, 3.4437], [3.4437, 3.4437, 0.0000]], "species": ["Pm", "Pa", "W"], "fractional_positions": [[0.0000, 0.0000, 0.0000], [0.5000, 0.5000, 0.5000], [0.2500, 0.2500, 0.2500]]}

***

{"formula": "Gd2YSn2Pb5", "functional": "PBE", "state": "relaxed", "polymorph_energy_mev_per_atom": 0.0, "cell": [[2.2591, -13.5034, 0.0000], [2.2591, 13.5034, 0.0000], [0.0000, 0.0000, 4.6187]], "species": ["Gd", "Gd", "Y", "Sn", "Sn", "Pb", "Pb", "Pb", "Pb", "Pb"], "fractional_positions": [[0.1931, 0.8069, 0.0000], [0.8069, 0.1931, 0.0000], [0.5000, 0.5000, 0.5000], [0.2885, 0.7115, 0.5000], [0.7115, 0.2885, 0.5000], [0.0000, 0.0000, 0.0000], [0.0989, 0.9011, 0.5000], [0.4017, 0.5983, 0.0000], [0.5983, 0.4017, 0.0000], [0.9011, 0.0989, 0.5000]]}

***

{"formula": "TbY2W2", "functional": "PBE", "state": "relaxed", "polymorph_energy_mev_per_atom": 0.0, "cell": [[-2.2381, 2.2381, 6.4402], [2.2381, -2.2381, 6.4402], [2.2381, 2.2381, -6.4402]], "species": ["Tb", "Y", "Y", "W", "W"], "fractional_positions": [[0.0000, 0.0000, 0.0000], [0.2500, 0.7500, 0.5000], [0.7500, 0.2500, 0.5000], [0.4096, 0.4096, 0.0000], [0.5904, 0.5904, 0.0000]]}

***

{"formula": "CsCuSnS3", "functional": "PBE", "state": "relaxed", "polymorph_energy_mev_per_atom": 49.9, "cell": [[1.9196, -7.7012, 0.0000], [1.9196, 7.7012, 0.0000], [0.0000, 0.0000, 10.4181]], "species": ["Cs", "Cs", "Cu", "Cu", "Sn", "Sn", "S", "S", "S", "S", "S", "S"], "fractional_positions": [[0.2376, 0.7624, 0.7500], [0.7624, 0.2376, 0.2500], [0.0432, 0.9568, 0.2500], [0.9568, 0.0432, 0.7500], [0.5000, 0.5000, 0.0000], [0.5000, 0.5000, 0.5000], [0.1114, 0.8886, 0.0516], [0.1114, 0.8886, 0.4484], [0.4531, 0.5469, 0.2500], [0.5469, 0.4531, 0.7500], [0.8886, 0.1114, 0.5516], [0.8886, 0.1114, 0.9484]]}

***

{"formula": "Li2Mg2Ge2IrPd", "functional": "PBE", "state": "relaxed", "final_energy_ry_per_atom": -0.313, "cell": [[4.3947, 0.0000, 0.0000], [0.0000, 4.3947, 0.0000], [0.0000, 0.0000, 6.2048]], "species": ["Li", "Li", "Mg", "Mg", "Ge", "Ge", "Ir", "Pd"], "fractional_positions": [[0.0000, 0.0000, 0.0000], [0.5000, 0.5000, 0.5000], [0.0000, 0.5000, 0.2499], [0.5000, 0.0000, 0.7501], [0.0000, 0.5000, 0.7366], [0.5000, 0.0000, 0.2634], [0.0000, 0.0000, 0.5000], [0.5000, 0.5000, 0.0000]]}

***

{"formula": "BaBW", "functional": "PBE", "state": "relaxed", "polymorph_energy_mev_per_atom": 0.0, "cell": [[0.0000, 3.1305, 3.1305], [3.1305, 0.0000, 3.1305], [3.1305, 3.1305, 0.0000]], "species": ["Ba", "B", "W"], "fractional_positions": [[0.0000, 0.0000, 0.0000], [0.2500, 0.2500, 0.2500], [0.5000, 0.5000, 0.5000]]}

***

{"formula": "LiNbO2", "functional": "PBE", "state": "relaxed", "final_energy_ry_per_atom": -0.550, "cell": [[-2.2864, 8.1910, 2.1725], [2.2864, -8.1910, 2.1725], [2.2864, 8.1910, -2.1725]], "species": ["Li", "Li", "Li", "Li", "Nb", "Nb", "Nb", "Nb", "O", "O", "O", "O", "O", "O", "O", "O"], "fractional_positions": [[0.0065, 0.2500, 0.7565], [0.4935, 0.2500, 0.2435], [0.5065, 0.7500, 0.7565], [0.9935, 0.7500, 0.2435], [0.0702, 0.7012, 0.7714], [0.4298, 0.2012, 0.6310], [0.5702, 0.7988, 0.3690], [0.9298, 0.2988, 0.2286], [0.0651, 0.1956, 0.2607], [0.1880, 0.7314, 0.9194], [0.3120, 0.2314, 0.5434], [0.4349, 0.6956, 0.1306], [0.5651, 0.3044, 0.8694], [0.6880, 0.7686, 0.4566], [0.8120, 0.2686, 0.0806], [0.9349, 0.8044, 0.7393]]}

***

{"formula": "PrNd2Al7Au2", "functional": "PBE", "state": "relaxed", "final_energy_ry_per_atom": -0.332, "cell": [[2.8404, 1.6399, 8.8592], [-2.8404, 1.6399, 8.8592], [0.0000, -3.2798, 8.8592]], "species": ["Pr", "Nd", "Nd", "Al", "Al", "Al", "Al", "Al", "Al", "Al", "Au", "Au"], "fractional_positions": [[0.0000, 0.0000, 0.0000], [0.1420, 0.1420, 0.1420], [0.8580, 0.8580, 0.8580], [0.0724, 0.5861, 0.5861], [0.4139, 0.4139, 0.9276], [0.4139, 0.9276, 0.4139], [0.5000, 0.5000, 0.5000], [0.5861, 0.0724, 0.5861], [0.5861, 0.5861, 0.0724], [0.9276, 0.4139, 0.4139], [0.3367, 0.3367, 0.3367], [0.6633, 0.6633, 0.6633]]}

***

{"formula": "Y3Er4Te2Pd2", "functional": "PBE", "state": "relaxed", "final_energy_ry_per_atom": -0.426, "cell": [[-1.9668, 7.8461, 4.7859], [1.9668, -7.8461, 4.7859], [1.9668, 7.8461, -4.7859]], "species": ["Y", "Y", "Y", "Er", "Er", "Er", "Er", "Te", "Te", "Pd", "Pd"], "fractional_positions": [[0.0000, 0.0000, 0.0000], [0.6177, 0.2613, 0.3564], [0.9050, 0.2613, 0.6436], [0.2853, 0.4143, 0.8711], [0.3053, 0.6226, 0.6827], [0.5432, 0.4143, 0.1289], [0.9399, 0.6226, 0.3173], [0.2636, 0.7636, 0.5000], [0.6604, 0.6604, 0.0000], [0.1693, 0.9300, 0.2393], [0.6907, 0.9300, 0.7607]]}

***

{"formula": "Na3HoF6", "functional": "PBE", "state": "relaxed", "polymorph_energy_mev_per_atom": 0.0, "cell": [[-2.8831, 2.8831, 4.1759], [2.8831, -2.8831, 4.1759], [2.8831, 2.8831, -4.1759]], "species": ["Na", "Na", "Na", "Ho", "F", "F", "F", "F", "F", "F"], "fractional_positions": [[0.0000, 0.0000, 0.0000], [0.2500, 0.7500, 0.5000], [0.7500, 0.2500, 0.5000], [0.5000, 0.5000, 0.0000], [0.1631, 0.3448, 0.5080], [0.2479, 0.2479, 0.0000], [0.3448, 0.8369, 0.1817], [0.6552, 0.1631, 0.8183], [0.7521, 0.7521, 0.0000], [0.8369, 0.6552, 0.4920]]}

***

{"formula": "SmHgTeO", "functional": "PBE", "state": "relaxed", "polymorph_energy_mev_per_atom": 31.6, "cell": [[9.5081, 0.0000, 0.0000], [0.0000, 6.1335, 0.0000], [-0.2328, 0.0000, 6.2110]], "species": ["Sm", "Sm", "Sm", "Sm", "Hg", "Hg", "Hg", "Hg", "Te", "Te", "Te", "Te", "O", "O", "O", "O"], "fractional_positions": [[0.0961, 0.0160, 0.2589], [0.0961, 0.4840, 0.7589], [0.9039, 0.5160, 0.2411], [0.9039, 0.9840, 0.7411], [0.3689, 0.6574, 0.5321], [0.3689, 0.8426, 0.0321], [0.6311, 0.1574, 0.9679], [0.6311, 0.3426, 0.4679], [0.3357, 0.1275, 0.6366], [0.3357, 0.3725, 0.1366], [0.6643, 0.6275, 0.8634], [0.6643, 0.8725, 0.3634], [0.0140, 0.7462, 0.5037], [0.0140, 0.7538, 0.0037], [0.9860, 0.2462, 0.9963], [0.9860, 0.2538, 0.4963]]}

***

{"formula": "Nb2AsOs", "functional": "PBE", "state": "relaxed", "final_energy_ry_per_atom": -0.653, "cell": [[0.0000, 3.1973, 3.1973], [3.1973, 0.0000, 3.1973], [3.1973, 3.1973, 0.0000]], "species": ["Nb", "Nb", "As", "Os"], "fractional_positions": [[0.0000, 0.0000, 0.0000], [0.2500, 0.2500, 0.2500], [0.5000, 0.5000, 0.5000], [0.7500, 0.7500, 0.7500]]}

***

{"formula": "HfScSbC", "functional": "PBE", "state": "relaxed", "polymorph_energy_mev_per_atom": 1.3, "cell": [[3.3974, 0.0000, 0.0000], [-1.6987, 2.9423, 0.0000], [0.0000, 0.0000, 14.1718]], "species": ["Hf", "Hf", "Sc", "Sc", "Sb", "Sb", "C", "C"], "fractional_positions": [[0.0000, 0.0000, 0.1629], [0.0000, 0.0000, 0.8371], [0.6667, 0.3333, 0.3330], [0.6667, 0.3333, 0.6670], [0.0000, 0.0000, 0.5000], [0.6667, 0.3333, 0.0000], [0.3333, 0.6667, 0.2449], [0.3333, 0.6667, 0.7551]]}

***

{"formula": "PaNiPb", "functional": "PBE", "state": "relaxed", "final_energy_ry_per_atom": -0.411, "cell": [[0.0000, 3.4044, 3.4044], [3.4044, 0.0000, 3.4044], [3.4044, 3.4044, 0.0000]], "species": ["Pa", "Ni", "Pb"], "fractional_positions": [[0.0000, 0.0000, 0.0000], [0.5000, 0.5000, 0.5000], [0.7500, 0.7500, 0.7500]]}

***

{"formula": "ZrNpTe", "functional": "PBE", "state": "relaxed", "final_energy_ry_per_atom": -0.587, "cell": [[0.0000, 3.4683, 3.4683], [3.4683, 0.0000, 3.4683], [3.4683, 3.4683, 0.0000]], "species": ["Zr", "Np", "Te"], "fractional_positions": [[0.0000, 0.0000, 0.0000], [0.5000, 0.5000, 0.5000], [0.7500, 0.7500, 0.7500]]}

***

{"formula": "NdSnTe3Au", "functional": "PBE", "state": "relaxed", "polymorph_energy_mev_per_atom": 21.6, "cell": [[12.7025, 0.0000, 0.0000], [0.0000, 4.4732, 0.0000], [0.0000, 0.0000, 12.6518]], "species": ["Nd", "Nd", "Nd", "Nd", "Sn", "Sn", "Sn", "Sn", "Te", "Te", "Te", "Te", "Te", "Te", "Te", "Te", "Te", "Te", "Te", "Te", "Au", "Au", "Au", "Au"], "fractional_positions": [[0.0359, 0.2500, 0.1962], [0.4641, 0.7500, 0.6962], [0.5359, 0.2500, 0.3038], [0.9641, 0.7500, 0.8038], [0.2139, 0.2500, 0.4535], [0.2861, 0.7500, 0.9535], [0.7139, 0.2500, 0.0465], [0.7861, 0.7500, 0.5465], [0.0315, 0.7500, 0.3767], [0.0970, 0.2500, 0.9399], [0.2008, 0.7500, 0.6733], [0.2992, 0.2500, 0.1733], [0.4030, 0.7500, 0.4399], [0.4685, 0.2500, 0.8767], [0.5315, 0.7500, 0.1233], [0.5970, 0.2500, 0.5601], [0.7008, 0.7500, 0.8267], [0.7992, 0.2500, 0.3267], [0.9030, 0.7500, 0.0601], [0.9685, 0.2500, 0.6233], [0.2244, 0.7500, 0.2795], [0.2756, 0.2500, 0.7795], [0.7244, 0.7500, 0.2205], [0.7756, 0.2500, 0.7205]]}

***

{"formula": "BaTbErS3", "functional": "PBE", "state": "relaxed", "final_energy_ry_per_atom": -0.414, "cell": [[2.1281, -7.1111, 0.0000], [2.1281, 7.1111, 0.0000], [0.0000, 0.0000, 10.5714]], "species": ["Ba", "Ba", "Tb", "Tb", "Er", "Er", "S", "S", "S", "S", "S", "S"], "fractional_positions": [[0.2403, 0.7597, 0.7500], [0.7597, 0.2403, 0.2500], [0.5000, 0.5000, 0.0000], [0.5000, 0.5000, 0.5000], [0.0320, 0.9680, 0.2500], [0.9680, 0.0320, 0.7500], [0.1312, 0.8688, 0.0474], [0.1312, 0.8688, 0.4526], [0.4215, 0.5785, 0.2500], [0.5785, 0.4215, 0.7500], [0.8688, 0.1312, 0.5474], [0.8688, 0.1312, 0.9526]]}

***

Number 1: volume 39.12 Å³ per atom. Number 2: volume 14.00 Å³ per atom. Number 3: volume 25.98 Å³ per atom. Number 4: volume 19.37 Å³ per atom. Number 5: volume 18.36 Å³ per atom. Number 6: volume 30.57 Å³ per atom. Number 7: volume 20.64 Å³ per atom. Number 8: volume 27.23 Å³ per atom. Number 9: volume 28.18 Å³ per atom. Number 10: volume 25.81 Å³ per atom. Number 11: volume 25.67 Å³ per atom. Number 12: volume 14.98 Å³ per atom. Number 13: volume 20.45 Å³ per atom. Number 14: volume 10.17 Å³ per atom. Number 15: volume 20.63 Å³ per atom. Number 16: volume 26.86 Å³ per atom. Number 17: volume 13.88 Å³ per atom. Number 18: volume 22.64 Å³ per atom. Number 19: volume 16.34 Å³ per atom. Number 20: volume 17.71 Å³ per atom. Number 21: volume 26.31 Å³ per atom. Number 22: volume 27.81 Å³ per atom. Number 23: volume 29.95 Å³ per atom. Number 24: volume 26.66 Å³ per atom.